1.
# PBE-GGA Tb2Mn2SnRh5, relaxed
data_Tb2Mn2SnRh5
_symmetry_space_group_name_H-M 'P 1'
_symmetry_Int_Tables_number 1
_cell_length_a 3.745
_cell_length_b 9.634
_cell_length_c 9.634
_cell_angle_alpha 90.00
_cell_angle_beta 90.00
_cell_angle_gamma 90.00
loop_
_symmetry_equiv_pos_as_xyz
'x,y,z'
loop_
_atom_site_label
_atom_site_type_symbol
_atom_site_fract_x
_atom_site_fract_y
_atom_site_fract_z
Mn1 Mn 0.000 0.619 0.881
Mn2 Mn 0.000 0.119 0.619
Mn3 Mn 0.000 0.881 0.381
Mn4 Mn 0.000 0.381 0.119
Tb1 Tb 0.000 0.321 0.821
Tb2 Tb 0.000 0.679 0.179
Tb3 Tb 0.000 0.179 0.321
Tb4 Tb 0.000 0.821 0.679
Rh1 Rh 0.500 0.789 0.934
Rh2 Rh 0.500 0.711 0.434
Rh3 Rh 0.500 0.211 0.066
Rh4 Rh 0.500 0.000 0.500
Rh5 Rh 0.500 0.289 0.566
Rh6 Rh 0.500 0.934 0.211
Rh7 Rh 0.500 0.066 0.789
Rh8 Rh 0.500 0.566 0.711
Rh9 Rh 0.500 0.434 0.289
Rh10 Rh 0.500 0.500 0.000
Sn1 Sn 0.000 0.500 0.500
Sn2 Sn 0.000 0.000 0.000
# Total moment   0.7189 μB/atom
# Raw total energy   -73.3 eV per formula unit
# Symmetry   No. 127
# Energy relative to the elements   -495 meV per atom
# Density of states at the Fermi level   0.66 states/eV per atom



2.
# PBE-GGA TiMnSnRh2, relaxed
data_TiMnSnRh2
_symmetry_space_group_name_H-M 'P 1'
_symmetry_Int_Tables_number 1
_cell_length_a 4.446
_cell_length_b 4.776
_cell_length_c 4.446
_cell_angle_alpha 90.00
_cell_angle_beta 90.00
_cell_angle_gamma 90.00
loop_
_symmetry_equiv_pos_as_xyz
'x,y,z'
loop_
_atom_site_label
_atom_site_type_symbol
_atom_site_fract_x
_atom_site_fract_y
_atom_site_fract_z
Ti1 Ti 0.500 0.500 0.500
Sn1 Sn 0.000 0.500 0.000
Rh1 Rh 0.500 0.000 0.000
Rh2 Rh 0.000 0.000 0.500
Mn1 Mn 0.000 0.000 0.000
# Total moment   0.2886 μB/atom
# Raw total energy   -32.2 eV per formula unit
# Symmetry   No. 123
# Energy relative to the elements   706 meV per atom
# Density of states at the Fermi level   1.39 states/eV per atom



3.
# PBE-GGA Sr2MnRh, relaxed
data_Sr2MnRh
_symmetry_space_group_name_H-M 'P 1'
_symmetry_Int_Tables_number 1
_cell_length_a 9.603
_cell_length_b 9.603
_cell_length_c 9.603
_cell_angle_alpha 23.09
_cell_angle_beta 23.09
_cell_angle_gamma 23.09
loop_
_symmetry_equiv_pos_as_xyz
'x,y,z'
loop_
_atom_site_label
_atom_site_type_symbol
_atom_site_fract_x
_atom_site_fract_y
_atom_site_fract_z
Mn1 Mn 0.250 0.250 0.250
Sr1 Sr 0.487 0.487 0.487
Sr2 Sr 0.013 0.013 0.013
Rh1 Rh 0.750 0.750 0.750
# Total moment   1.0264 μB/atom
# Raw total energy   -17.9 eV per formula unit
# Symmetry   No. 166
# Relative energy among the computed polymorphs   474 meV per atom
# Energy relative to the elements   488 meV per atom
# Density of states at the Fermi level   1.05 states/eV per atom



4.
# PBE-GGA SrMn3Rh, relaxed
data_SrMn3Rh
_symmetry_space_group_name_H-M 'P 1'
_symmetry_Int_Tables_number 1
_cell_length_a 4.739
_cell_length_b 4.739
_cell_length_c 4.739
_cell_angle_alpha 90.00
_cell_angle_beta 90.00
_cell_angle_gamma 90.00
loop_
_symmetry_equiv_pos_as_xyz
'x,y,z'
loop_
_atom_site_label
_atom_site_type_symbol
_atom_site_fract_x
_atom_site_fract_y
_atom_site_fract_z
Mn1 Mn 0.500 0.000 0.000
Mn2 Mn 0.000 0.000 0.500
Mn3 Mn 0.000 0.500 0.000
Sr1 Sr 0.000 0.000 0.000
Rh1 Rh 0.500 0.500 0.500
# Total moment   2.2662 μB/atom
# Raw total energy   -25.5 eV per formula unit
# Symmetry   No. 221
# Relative energy among the computed polymorphs   1714 meV per atom
# Energy relative to the elements   2206 meV per atom
# Density of states at the Fermi level   0.78 states/eV per atom



5.
# PBE-GGA Sr2MnRh, relaxed
data_Sr2MnRh
_symmetry_space_group_name_H-M 'P 1'
_symmetry_Int_Tables_number 1
_cell_length_a 4.226
_cell_length_b 4.682
_cell_length_c 6.357
_cell_angle_alpha 68.38
_cell_angle_beta 90.00
_cell_angle_gamma 90.00
loop_
_symmetry_equiv_pos_as_xyz
'x,y,z'
loop_
_atom_site_label
_atom_site_type_symbol
_atom_site_fract_x
_atom_site_fract_y
_atom_site_fract_z
Rh1 Rh 0.500 0.569 0.737
Sr1 Sr 0.500 0.266 0.343
Sr2 Sr 0.000 0.986 0.903
Mn1 Mn 0.000 0.679 0.517
# Total moment   1.0750 μB/atom
# Raw total energy   -19.8 eV per formula unit
# Symmetry   No. 38
# Relative energy among the computed polymorphs   0 meV per atom
# Energy relative to the elements   14 meV per atom
# Density of states at the Fermi level   0.70 states/eV per atom



6.
# PBE-GGA SrMn2Rh, relaxed
data_SrMn2Rh
_symmetry_space_group_name_H-M 'P 1'
_symmetry_Int_Tables_number 1
_cell_length_a 9.366
_cell_length_b 9.366
_cell_length_c 9.366
_cell_angle_alpha 20.16
_cell_angle_beta 20.16
_cell_angle_gamma 20.16
loop_
_symmetry_equiv_pos_as_xyz
'x,y,z'
loop_
_atom_site_label
_atom_site_type_symbol
_atom_site_fract_x
_atom_site_fract_y
_atom_site_fract_z
Mn1 Mn 0.982 0.982 0.982
Mn2 Mn 0.518 0.518 0.518
Sr1 Sr 0.750 0.750 0.750
Rh1 Rh 0.250 0.250 0.250
# Total moment   2.2670 μB/atom
# Raw total energy   -24.7 eV per formula unit
# Symmetry   No. 166
# Energy relative to the elements   674 meV per atom
# Density of states at the Fermi level   0.92 states/eV per atom



7.
# PBE-GGA SrMnRh, relaxed
data_SrMnRh
_symmetry_space_group_name_H-M 'P 1'
_symmetry_Int_Tables_number 1
_cell_length_a 4.420
_cell_length_b 7.688
_cell_length_c 4.495
_cell_angle_alpha 89.32
_cell_angle_beta 60.67
_cell_angle_gamma 90.02
loop_
_symmetry_equiv_pos_as_xyz
'x,y,z'
loop_
_atom_site_label
_atom_site_type_symbol
_atom_site_fract_x
_atom_site_fract_y
_atom_site_fract_z
Sr1 Sr 0.698 0.661 0.416
Sr2 Sr 0.698 0.161 0.417
Rh1 Rh 0.362 0.912 0.088
Rh2 Rh 0.033 0.412 0.746
Mn1 Mn 0.366 0.410 0.079
Mn2 Mn 0.030 0.910 0.754
# Total moment   1.4629 μB/atom
# Raw total energy   -17.8 eV per formula unit
# Symmetry   No. 1
# Relative energy among the computed polymorphs   222 meV per atom
# Energy relative to the elements   118 meV per atom
# Density of states at the Fermi level   0.58 states/eV per atom



8.
# PBE-GGA SrMnRh, relaxed
data_SrMnRh
_symmetry_space_group_name_H-M 'P 1'
_symmetry_Int_Tables_number 1
_cell_length_a 4.076
_cell_length_b 5.981
_cell_length_c 8.674
_cell_angle_alpha 109.54
_cell_angle_beta 90.01
_cell_angle_gamma 47.03
loop_
_symmetry_equiv_pos_as_xyz
'x,y,z'
loop_
_atom_site_label
_atom_site_type_symbol
_atom_site_fract_x
_atom_site_fract_y
_atom_site_fract_z
Sr1 Sr 0.722 0.314 0.230
Sr2 Sr 0.384 0.152 0.582
Mn1 Mn 0.559 0.478 0.914
Mn2 Mn 0.265 0.772 0.793
Rh1 Rh 0.827 0.710 0.083
Rh2 Rh 0.495 0.042 0.897
# Total moment   0.0000 μB/atom
# Raw total energy   -17.7 eV per formula unit
# Symmetry   No. 6
# Relative energy among the computed polymorphs   265 meV per atom
# Energy relative to the elements   161 meV per atom
# Density of states at the Fermi level   0.73 states/eV per atom



9.
# PBE-GGA SrMnRh, relaxed
data_SrMnRh
_symmetry_space_group_name_H-M 'P 1'
_symmetry_Int_Tables_number 1
_cell_length_a 3.792
_cell_length_b 6.225
_cell_length_c 6.965
_cell_angle_alpha 56.74
_cell_angle_beta 105.82
_cell_angle_gamma 90.01
loop_
_symmetry_equiv_pos_as_xyz
'x,y,z'
loop_
_atom_site_label
_atom_site_type_symbol
_atom_site_fract_x
_atom_site_fract_y
_atom_site_fract_z
Mn1 Mn 0.416 0.840 0.415
Mn2 Mn 0.824 0.880 0.232
Rh1 Rh 0.588 0.841 0.760
Rh2 Rh 0.227 0.810 0.038
Sr1 Sr 0.905 0.295 0.393
Sr2 Sr 0.137 0.398 0.857
# Total moment   0.2436 μB/atom
# Raw total energy   -17.5 eV per formula unit
# Symmetry   No. 8
# Relative energy among the computed polymorphs   334 meV per atom
# Energy relative to the elements   230 meV per atom
# Density of states at the Fermi level   0.69 states/eV per atom



10.
# PBE-GGA SrMn2Rh, relaxed
data_SrMn2Rh
_symmetry_space_group_name_H-M 'P 1'
_symmetry_Int_Tables_number 1
_cell_length_a 6.133
_cell_length_b 6.133
_cell_length_c 6.133
_cell_angle_alpha 41.92
_cell_angle_beta 41.92
_cell_angle_gamma 41.92
loop_
_symmetry_equiv_pos_as_xyz
'x,y,z'
loop_
_atom_site_label
_atom_site_type_symbol
_atom_site_fract_x
_atom_site_fract_y
_atom_site_fract_z
Mn1 Mn 0.228 0.228 0.228
Mn2 Mn 0.947 0.947 0.947
Rh1 Rh 0.569 0.569 0.569
Sr1 Sr 0.756 0.756 0.756
# Total moment   1.9235 μB/atom
# Raw total energy   -26.6 eV per formula unit
# Symmetry   No. 160
# Energy relative to the elements   182 meV per atom
# Density of states at the Fermi level   0.95 states/eV per atom